Entry 1:
Rb2BiF: optimized geometry, PBE-GGA.

Values from the calculation:
Total energy, eV/atom: -3.314
V, A^3/atom: 29.339
Offset from the most stable computed form, meV per atom: 0
DOS at the Fermi energy, states/eV/atom: 0.317

abc: 3.5415 3.5415 9.3569
angles: 90.00 90.00 90.00
Closest atoms and distances in Å follow each position.
Atoms (fractional coordinates):
Bi1 0.5000 0.5000 0.5000  4 Bi 3.54, 8 Rb 3.89
Rb1 0.0000 0.0000 0.8185  4 F 3.03
Rb2 0.0000 0.0000 0.1815  4 F 3.03
F1 0.5000 0.5000 0.0000  8 Rb 3.03

=====

Entry 2:
Rb4Bi2F: optimized geometry, PBE-GGA.

Values from the calculation:
Total energy, eV/atom: -2.541
V, A^3/atom: 46.316
DOS at the Fermi energy, states/eV/atom: 1.314

abc: 5.5453 5.5453 11.2489
angles: 75.73 75.73 90.00
Closest atoms and distances in Å follow each position.
Atoms (fractional coordinates):
Bi1 0.8698 0.8698 0.2604  1 F 2.75
Bi2 0.1302 0.1302 0.7396  1 F 2.75
Rb1 0.6843 0.6843 0.6313  5 Bi 3.91-4.08
Rb2 0.3157 0.3157 0.3687  5 Bi 3.91-4.08
Rb3 0.0000 0.5000 0.0000  2 F 2.77
Rb4 0.5000 0.0000 0.0000  2 F 2.77
F1 0.0000 0.0000 0.0000  2 Bi 2.75, 4 Rb 2.77

=====

Entry 3:
RbBi2F11: optimized geometry, PBE-GGA.

Values from the calculation:
Total energy, eV/atom: -4.080
V, A^3/atom: 20.331

abc: 8.2090 9.3523 9.3523
angles: 69.81 63.97 63.97
Closest atoms and distances in Å follow each position.
Atoms (fractional coordinates):
Rb1 0.7500 0.7500 0.7500  8 F 2.80-2.89
Rb2 0.2500 0.2500 0.2500  8 F 2.80-2.89
Bi1 0.6313 0.6831 0.3169  7 F 2.04-2.25
Bi2 0.3687 0.3169 0.6831  7 F 2.04-2.25
Bi3 0.8687 0.1831 0.8169  7 F 2.04-2.25
Bi4 0.1313 0.8169 0.1831  7 F 2.04-2.25
F1 0.6319 0.6942 0.5303  1 Bi 2.04
F2 0.3681 0.3058 0.4697  1 Bi 2.04
F3 0.1436 0.5303 0.6942  1 Bi 2.04
F4 0.8681 0.9697 0.8058  1 Bi 2.04
F5 0.8564 0.4697 0.3058  1 Bi 2.04
F6 0.1319 0.0303 0.1942  1 Bi 2.04
F7 0.3564 0.8058 0.9697  1 Bi 2.04
F8 0.6436 0.1942 0.0303  1 Bi 2.04
F9 0.5000 0.5000 0.5000  2 Bi 2.24, 2 F 2.48
F10 0.0000 0.0000 0.0000  2 Bi 2.24, 2 F 2.48
F11 0.8650 0.7924 0.2076  2 Bi 2.20-2.25
F12 0.1350 0.2076 0.7924  2 Bi 2.20-2.25
F13 0.6350 0.2924 0.7076  2 Bi 2.20-2.25
F14 0.3650 0.7076 0.2924  2 Bi 2.20-2.25
F15 0.4770 0.9239 0.3087  1 Bi 2.04
F16 0.5230 0.0761 0.6913  1 Bi 2.04
F17 0.2904 0.3087 0.9239  1 Bi 2.04
F18 0.0230 0.1913 0.5761  1 Bi 2.04
F19 0.7096 0.6913 0.0761  1 Bi 2.04
F20 0.9770 0.8087 0.4239  1 Bi 2.04
F21 0.2096 0.5761 0.1913  1 Bi 2.04
F22 0.7904 0.4239 0.8087  1 Bi 2.04

=====

Entry 4:
Rb5Bi2F12: optimized geometry, PBE-GGA.

Values from the calculation:
Total energy, eV/atom: -4.373
V, A^3/atom: 20.781
Offset from the most stable computed form, meV per atom: 0
DOS at the Fermi energy, states/eV/atom: 0.372

abc: 6.9149 8.0987 8.0987
angles: 61.60 82.92 82.92
Closest atoms and distances in Å follow each position.
Atoms (fractional coordinates):
Rb1 0.0154 0.2414 0.2414  5 F 2.79-2.83
Rb2 0.5174 0.3614 0.3614  3 F 2.73-2.83
Rb3 0.5000 0.0000 0.0000  6 F 2.77-2.78
Rb4 0.4826 0.6386 0.6386  3 F 2.73-2.83
Rb5 0.9846 0.7586 0.7586  5 F 2.79-2.83
Bi1 0.0000 0.7484 0.2516  8 F 2.27-2.43
Bi2 0.0000 0.2516 0.7484  8 F 2.27-2.43
F1 0.8601 0.0660 0.0660  2 Bi 2.43, 3 F 2.47-2.70
F2 0.2040 0.1602 0.5602  1 Bi 2.27
F3 0.2040 0.5602 0.1602  1 Bi 2.27
F4 0.7740 0.1041 0.6926  1 Bi 2.28
F5 0.7740 0.6926 0.1041  1 Bi 2.28
F6 0.8391 0.4663 0.4663  2 Bi 2.42, 3 F 2.54-2.68
F7 0.1609 0.5337 0.5337  2 Bi 2.42, 3 F 2.54-2.68
F8 0.2260 0.8959 0.3074  1 Bi 2.28
F9 0.2260 0.3074 0.8959  1 Bi 2.28
F10 0.7960 0.8398 0.4398  1 Bi 2.27
F11 0.7960 0.4398 0.8398  1 Bi 2.27
F12 0.1399 0.9340 0.9340  2 Bi 2.43, 3 F 2.47-2.70

=====

Entry 5:
RbBiF3: optimized geometry, PBE-GGA.

Values from the calculation:
Total energy, eV/atom: -4.230
V, A^3/atom: 26.437
Offset from the most stable computed form, meV per atom: 183

abc: 6.1146 6.7987 6.7987
angles: 110.71 90.00 90.00
Closest atoms and distances in Å follow each position.
Atoms (fractional coordinates):
Rb1 0.2500 0.3412 0.6588  2 F 2.64
Rb2 0.7500 0.6588 0.3412  2 F 2.64
Bi1 0.0000 0.0000 0.0000  6 F 2.39-2.48
Bi2 0.5000 0.0000 0.0000  6 F 2.39-2.48
F1 0.2500 0.8360 0.1640  2 Bi 2.39
F2 0.7500 0.1640 0.8360  2 Bi 2.39
F3 0.2500 0.7517 0.7430  2 Bi 2.48, 1 Rb 2.64, 1 F 2.71
F4 0.7500 0.2483 0.2570  2 Bi 2.48, 1 Rb 2.64, 1 F 2.71
F5 0.2500 0.2570 0.2483  2 Bi 2.48, 1 Rb 2.64, 1 F 2.71
F6 0.7500 0.7430 0.7517  2 Bi 2.48, 1 Rb 2.64, 1 F 2.71

=====

Entry 6:
Rb8Bi2F: optimized geometry, PBE-GGA.

Values from the calculation:
Total energy, eV/atom: -2.213
V, A^3/atom: 52.531
DOS at the Fermi energy, states/eV/atom: 0.260

abc: 6.4710 8.2892 12.6942
angles: 117.61 104.77 90.00
Closest atoms and distances in Å follow each position.
Atoms (fractional coordinates):
Rb1 0.4139 0.6565 0.8279  1 F 2.61
Rb2 0.6752 0.9295 0.3504  3 Bi 3.91-3.95, 4 Rb 3.92-4.31
Rb3 0.7773 0.6832 0.5545  1 Bi 3.77, 4 Rb 3.92-4.19
Rb4 0.9737 0.2220 0.9473  2 Bi 3.86-4.16, 2 F 3.93, 3 Rb 4.05-4.15
Rb5 0.2227 0.3168 0.4455  1 Bi 3.77, 4 Rb 3.92-4.19
Rb6 0.3248 0.0705 0.6496  3 Bi 3.91-3.95, 4 Rb 3.92-4.31
Rb7 0.5861 0.3435 0.1721  1 F 2.61
Rb8 0.0263 0.7780 0.0527  2 Bi 3.86-4.16, 2 F 3.93, 3 Rb 4.05-4.15
Bi1 0.8437 0.3571 0.6874  8 Rb 3.77-4.16
Bi2 0.1563 0.6429 0.3126  8 Rb 3.77-4.16
F1 0.5000 0.0000 0.0000  2 Rb 2.61

=====

Entry 7:
Rb3BiF6: optimized geometry, PBE-GGA.

Values from the calculation:
Total energy, eV/atom: -4.381
V, A^3/atom: 34.752
DOS at the Fermi energy, states/eV/atom: 0.000

abc: 7.2878 7.2926 7.2916
angles: 103.69 103.80 103.70
Closest atoms and distances in Å follow each position.
Atoms (fractional coordinates):
Rb1 0.0000 0.5000 0.0000  6 F 2.90-3.02
Rb2 0.5000 0.0000 0.0000  6 F 2.90-3.02
Rb3 0.0000 0.0000 0.5000  6 F 2.90-3.02
Bi1 0.0000 0.0000 0.0000  6 F 2.28
F1 0.0681 0.7729 0.7727  1 Bi 2.28
F2 0.9319 0.2271 0.2273  1 Bi 2.28
F3 0.7727 0.7729 0.0683  1 Bi 2.28
F4 0.2273 0.2271 0.9317  1 Bi 2.28
F5 0.7728 0.0689 0.7728  1 Bi 2.28
F6 0.2272 0.9311 0.2272  1 Bi 2.28

=====

Entry 8:
Rb2BiF5: optimized geometry, PBE-GGA.

Values from the calculation:
Total energy, eV/atom: -4.442
V, A^3/atom: 22.608
Offset from the most stable computed form, meV per atom: 116
DOS at the Fermi energy, states/eV/atom: 0.000

abc: 6.8199 6.8199 6.1966
angles: 123.41 123.41 89.99
Closest atoms and distances in Å follow each position.
Atoms (fractional coordinates):
Rb1 0.2584 0.7586 0.5170  8 F 3.03-3.19
Rb2 0.7586 0.2584 0.5170  8 F 3.03-3.19
Bi1 0.0279 0.0280 0.0559  5 F 2.07-2.22
F1 0.7638 0.2210 0.9848  1 Bi 2.22
F2 0.2211 0.2211 0.9850  1 Bi 2.22
F3 0.7638 0.7638 0.9847  1 Bi 2.22
F4 0.2210 0.7638 0.9848  1 Bi 2.22
F5 0.7624 0.7624 0.5248  1 Bi 2.07